Computed, not measured: an optimized crystal structure of TaTi3I at the PBE level of DFT.

```
5
Lattice="4.844 0.000 0.000 0.000 4.844 0.000 0.000 0.000 4.844" Properties=species:S:1:pos:R:3 pbc="T T T"
Ta 2.422 2.422 2.422
Ti 0.000 0.000 2.422
Ti 2.422 0.000 0.000
Ti 0.000 2.422 0.000
I 0.000 0.000 0.000
```

Volume, Å³ per atom: 22.74
Uncorrected formation energy, eV/atom: 1.27
Crystal system: cubic
Final energy, eV per atom: -6.151
N(E_F), states/eV per atom: 1.39
M_tot, μB per formula unit: 0.000